No. 1
Entry from the Alexandria database: a geometry-optimized Sr2ScSn4Au3 structure (GGA-PBE).

```
data_Sr2ScSn4Au3
_chemical_formula_sum 'Sr2 Sc1 Sn4 Au3'
_space_group_name_H-M_alt 'P 1'
_space_group_IT_number 1
_space_group_name_Hall 'P 1'
_cell_length_a 4.5599
_cell_length_b 4.5599
_cell_length_c 12.5765
_cell_angle_alpha 90.00
_cell_angle_beta 90.00
_cell_angle_gamma 90.00
loop_
_atom_site_label
_atom_site_type_symbol
_atom_site_fract_x
_atom_site_fract_y
_atom_site_fract_z
Sr1 Sr 0.0000 0.5000 0.2455
Sr2 Sr 0.5000 0.0000 0.7545
Sc1 Sc 0.0000 0.0000 0.5000
Sn1 Sn 0.0000 0.0000 0.0000
Sn2 Sn 0.0000 0.5000 0.6412
Sn3 Sn 0.5000 0.0000 0.3588
Sn4 Sn 0.5000 0.5000 0.0000
Au1 Au 0.0000 0.5000 0.8579
Au2 Au 0.5000 0.0000 0.1421
Au3 Au 0.5000 0.5000 0.5000
```

Calculated values
Fermi-level density of states	4.564	states/eV/f.u.
formation enthalpy at 0 K	-0.60	eV/atom
size of the total moment	0.0000	μB/atom
E	-0.1528	Ha/atom


No. 2
Entry from the Alexandria database: a geometry-optimized SrScSnAu structure (GGA-PBE).

```
data_SrScSnAu
_chemical_formula_sum 'Sr1 Sc1 Sn1 Au1'
_space_group_name_H-M_alt 'P 1'
_space_group_IT_number 1
_space_group_name_Hall 'P 1'
_cell_length_a 5.2609
_cell_length_b 5.2609
_cell_length_c 5.2609
_cell_angle_alpha 60.00
_cell_angle_beta 60.00
_cell_angle_gamma 60.00
loop_
_atom_site_label
_atom_site_type_symbol
_atom_site_fract_x
_atom_site_fract_y
_atom_site_fract_z
Sr1 Sr 0.0000 0.0000 0.0000
Sc1 Sc 0.5000 0.5000 0.5000
Sn1 Sn 0.2500 0.2500 0.2500
Au1 Au 0.7500 0.7500 0.7500
```

Calculated values
Fermi-level density of states	1.873	states/eV/f.u.
formation enthalpy at 0 K	-0.56	eV/atom
size of the total moment	0.0000	μB/atom
E	-0.1610	Ha/atom


No. 3
Entry from the Alexandria database: a geometry-optimized Sr2ScSn3Au4 structure (GGA-PBE).

```
data_Sr2ScSn3Au4
_chemical_formula_sum 'Sr2 Sc1 Sn3 Au4'
_space_group_name_H-M_alt 'P 1'
_space_group_IT_number 1
_space_group_name_Hall 'P 1'
_cell_length_a 4.6284
_cell_length_b 4.6284
_cell_length_c 11.8327
_cell_angle_alpha 90.00
_cell_angle_beta 90.00
_cell_angle_gamma 90.00
loop_
_atom_site_label
_atom_site_type_symbol
_atom_site_fract_x
_atom_site_fract_y
_atom_site_fract_z
Sr1 Sr 0.0000 0.5000 0.2349
Sr2 Sr 0.5000 0.0000 0.7651
Sc1 Sc 0.0000 0.0000 0.5000
Sn1 Sn 0.0000 0.5000 0.8672
Sn2 Sn 0.5000 0.0000 0.1328
Sn3 Sn 0.5000 0.5000 0.5000
Au1 Au 0.0000 0.0000 0.0000
Au2 Au 0.0000 0.5000 0.6378
Au3 Au 0.5000 0.0000 0.3622
Au4 Au 0.5000 0.5000 0.0000
```

Calculated values
Fermi-level density of states	4.874	states/eV/f.u.
formation enthalpy at 0 K	-0.62	eV/atom
size of the total moment	0.0000	μB/atom
E	-0.1506	Ha/atom


No. 4
Entry from the Alexandria database: a geometry-optimized ScTaSn2Au structure (GGA-PBE).

```
data_ScTaSn2Au
_chemical_formula_sum 'Sc1 Ta1 Sn2 Au1'
_space_group_name_H-M_alt 'P 1'
_space_group_IT_number 1
_space_group_name_Hall 'P 1'
_cell_length_a 5.3230
_cell_length_b 5.3230
_cell_length_c 5.1069
_cell_angle_alpha 90.00
_cell_angle_beta 90.00
_cell_angle_gamma 90.00
loop_
_atom_site_label
_atom_site_type_symbol
_atom_site_fract_x
_atom_site_fract_y
_atom_site_fract_z
Sc1 Sc 0.0000 0.0000 0.0000
Ta1 Ta 0.0000 0.0000 0.5000
Sn1 Sn 0.0000 0.5000 0.5000
Sn2 Sn 0.5000 0.0000 0.5000
Au1 Au 0.5000 0.5000 0.0000
```

Calculated values
Fermi-level density of states	3.179	states/eV/f.u.
formation enthalpy at 0 K	0.58	eV/atom
size of the total moment	0.0000	μB/atom
E	-0.1953	Ha/atom


No. 5
Entry from the Alexandria database: a geometry-optimized TbScSnAu structure (GGA-PBE).

```
data_TbScSnAu
_chemical_formula_sum 'Tb1 Sc1 Sn1 Au1'
_space_group_name_H-M_alt 'P 1'
_space_group_IT_number 1
_space_group_name_Hall 'P 1'
_cell_length_a 5.0977
_cell_length_b 5.0977
_cell_length_c 5.0977
_cell_angle_alpha 60.00
_cell_angle_beta 60.00
_cell_angle_gamma 60.00
loop_
_atom_site_label
_atom_site_type_symbol
_atom_site_fract_x
_atom_site_fract_y
_atom_site_fract_z
Tb1 Tb 0.0000 0.0000 0.0000
Sc1 Sc 0.5000 0.5000 0.5000
Sn1 Sn 0.7500 0.7500 0.7500
Au1 Au 0.2500 0.2500 0.2500
```

Calculated values
Fermi-level density of states	3.938	states/eV/f.u.
formation enthalpy at 0 K	-0.68	eV/atom
size of the total moment	0.1864	μB/atom
E	-0.1925	Ha/atom


No. 6
Entry from the Alexandria database: a geometry-optimized ScTiSnAu structure (GGA-PBE).

```
data_ScTiSnAu
_chemical_formula_sum 'Sc1 Ti1 Sn1 Au1'
_space_group_name_H-M_alt 'P 1'
_space_group_IT_number 1
_space_group_name_Hall 'P 1'
_cell_length_a 4.8297
_cell_length_b 4.8297
_cell_length_c 4.8297
_cell_angle_alpha 60.00
_cell_angle_beta 60.00
_cell_angle_gamma 60.00
loop_
_atom_site_label
_atom_site_type_symbol
_atom_site_fract_x
_atom_site_fract_y
_atom_site_fract_z
Sc1 Sc 0.0000 0.0000 0.0000
Ti1 Ti 0.5000 0.5000 0.5000
Sn1 Sn 0.7500 0.7500 0.7500
Au1 Au 0.2500 0.2500 0.2500
```

Calculated values
Fermi-level density of states	2.845	states/eV/f.u.
formation enthalpy at 0 K	-0.45	eV/atom
size of the total moment	0.4813	μB/atom
E	-0.2142	Ha/atom


No. 7
Entry from the Alexandria database: a geometry-optimized TmScSnAu structure (GGA-PBE).

```
data_TmScSnAu
_chemical_formula_sum 'Tm1 Sc1 Sn1 Au1'
_space_group_name_H-M_alt 'P 1'
_space_group_IT_number 1
_space_group_name_Hall 'P 1'
_cell_length_a 5.0492
_cell_length_b 5.0492
_cell_length_c 5.0492
_cell_angle_alpha 60.00
_cell_angle_beta 60.00
_cell_angle_gamma 60.00
loop_
_atom_site_label
_atom_site_type_symbol
_atom_site_fract_x
_atom_site_fract_y
_atom_site_fract_z
Tm1 Tm 0.0000 0.0000 0.0000
Sc1 Sc 0.5000 0.5000 0.5000
Sn1 Sn 0.2500 0.2500 0.2500
Au1 Au 0.7500 0.7500 0.7500
```

Calculated values
Fermi-level density of states	4.172	states/eV/f.u.
formation enthalpy at 0 K	-0.67	eV/atom
size of the total moment	0.1623	μB/atom
E	-0.1908	Ha/atom


No. 8
Entry from the Alexandria database: a geometry-optimized Sc2ZnSnAu4 structure (GGA-PBE).

```
data_Sc2ZnSnAu4
_chemical_formula_sum 'Sc2 Zn1 Sn1 Au4'
_space_group_name_H-M_alt 'P 1'
_space_group_IT_number 1
_space_group_name_Hall 'P 1'
_cell_length_a 8.2518
_cell_length_b 8.2518
_cell_length_c 8.2518
_cell_angle_alpha 33.37
_cell_angle_beta 33.37
_cell_angle_gamma 33.37
loop_
_atom_site_label
_atom_site_type_symbol
_atom_site_fract_x
_atom_site_fract_y
_atom_site_fract_z
Sc1 Sc 0.2486 0.2486 0.2486
Sc2 Sc 0.7514 0.7514 0.7514
Zn1 Zn 0.0000 0.0000 0.0000
Sn1 Sn 0.5000 0.5000 0.5000
Au1 Au 0.1174 0.1174 0.1174
Au2 Au 0.3685 0.3685 0.3685
Au3 Au 0.6315 0.6315 0.6315
Au4 Au 0.8826 0.8826 0.8826
```

Calculated values
Fermi-level density of states	3.820	states/eV/f.u.
formation enthalpy at 0 K	-0.60	eV/atom
size of the total moment	0.0000	μB/atom
E	-0.1647	Ha/atom


No. 9
Entry from the Alexandria database: a geometry-optimized ScZn2SnAu structure (GGA-PBE).

```
data_ScZn2SnAu
_chemical_formula_sum 'Sc1 Zn2 Sn1 Au1'
_space_group_name_H-M_alt 'P 1'
_space_group_IT_number 1
_space_group_name_Hall 'P 1'
_cell_length_a 4.7666
_cell_length_b 4.7666
_cell_length_c 5.5090
_cell_angle_alpha 90.00
_cell_angle_beta 90.00
_cell_angle_gamma 90.00
loop_
_atom_site_label
_atom_site_type_symbol
_atom_site_fract_x
_atom_site_fract_y
_atom_site_fract_z
Sc1 Sc 0.0000 0.0000 0.0000
Zn1 Zn 0.0000 0.5000 0.5000
Zn2 Zn 0.5000 0.0000 0.5000
Sn1 Sn 0.5000 0.5000 0.0000
Au1 Au 0.5000 0.5000 0.5000
```

Calculated values
Fermi-level density of states	3.371	states/eV/f.u.
formation enthalpy at 0 K	0.18	eV/atom
size of the total moment	0.0000	μB/atom
E	-0.1120	Ha/atom


No. 10
Entry from the Alexandria database: a geometry-optimized ScZnSnAu structure (GGA-PBE).

```
data_ScZnSnAu
_chemical_formula_sum 'Sc1 Zn1 Sn1 Au1'
_space_group_name_H-M_alt 'P 1'
_space_group_IT_number 1
_space_group_name_Hall 'P 1'
_cell_length_a 4.8169
_cell_length_b 4.8169
_cell_length_c 4.8169
_cell_angle_alpha 60.00
_cell_angle_beta 60.00
_cell_angle_gamma 60.00
loop_
_atom_site_label
_atom_site_type_symbol
_atom_site_fract_x
_atom_site_fract_y
_atom_site_fract_z
Sc1 Sc 0.0000 0.0000 0.0000
Zn1 Zn 0.2500 0.2500 0.2500
Sn1 Sn 0.5000 0.5000 0.5000
Au1 Au 0.7500 0.7500 0.7500
```

Calculated values
Fermi-level density of states	2.047	states/eV/f.u.
formation enthalpy at 0 K	-0.38	eV/atom
size of the total moment	0.0000	μB/atom
E	-0.1507	Ha/atom


No. 11
Entry from the Alexandria database: a geometry-optimized ZrScSnAu structure (GGA-PBE).

```
data_ZrScSnAu
_chemical_formula_sum 'Zr1 Sc1 Sn1 Au1'
_space_group_name_H-M_alt 'P 1'
_space_group_IT_number 1
_space_group_name_Hall 'P 1'
_cell_length_a 4.9364
_cell_length_b 4.9364
_cell_length_c 4.9364
_cell_angle_alpha 60.00
_cell_angle_beta 60.00
_cell_angle_gamma 60.00
loop_
_atom_site_label
_atom_site_type_symbol
_atom_site_fract_x
_atom_site_fract_y
_atom_site_fract_z
Zr1 Zr 0.0000 0.0000 0.0000
Sc1 Sc 0.5000 0.5000 0.5000
Sn1 Sn 0.2500 0.2500 0.2500
Au1 Au 0.7500 0.7500 0.7500
```

Calculated values
Fermi-level density of states	4.353	states/eV/f.u.
formation enthalpy at 0 K	-0.52	eV/atom
size of the total moment	0.0000	μB/atom
E	-0.2227	Ha/atom


No. 12
Entry from the Alexandria database: a geometry-optimized ZrSc2SnAu structure (GGA-PBE).

```
data_ZrSc2SnAu
_chemical_formula_sum 'Zr1 Sc2 Sn1 Au1'
_space_group_name_H-M_alt 'P 1'
_space_group_IT_number 1
_space_group_name_Hall 'P 1'
_cell_length_a 5.2387
_cell_length_b 5.2387
_cell_length_c 5.3423
_cell_angle_alpha 90.00
_cell_angle_beta 90.00
_cell_angle_gamma 90.00
loop_
_atom_site_label
_atom_site_type_symbol
_atom_site_fract_x
_atom_site_fract_y
_atom_site_fract_z
Zr1 Zr 0.0000 0.0000 0.0000
Sc1 Sc 0.0000 0.5000 0.5000
Sc2 Sc 0.5000 0.0000 0.5000
Sn1 Sn 0.0000 0.0000 0.5000
Au1 Au 0.5000 0.5000 0.0000
```

Calculated values
Fermi-level density of states	9.593	states/eV/f.u.
formation enthalpy at 0 K	0.55	eV/atom
size of the total moment	0.3431	μB/atom
E	-0.1893	Ha/atom


No. 13
Entry from the Alexandria database: a geometry-optimized SrSc4Au structure (GGA-PBE).

```
data_SrSc4Au
_chemical_formula_sum 'Sr1 Sc4 Au1'
_space_group_name_H-M_alt 'P 1'
_space_group_IT_number 1
_space_group_name_Hall 'P 1'
_cell_length_a 6.0780
_cell_length_b 6.0780
_cell_length_c 6.0780
_cell_angle_alpha 60.00
_cell_angle_beta 60.00
_cell_angle_gamma 60.00
loop_
_atom_site_label
_atom_site_type_symbol
_atom_site_fract_x
_atom_site_fract_y
_atom_site_fract_z
Sr1 Sr 0.0000 0.0000 0.0000
Sc1 Sc 0.3763 0.3763 0.3763
Sc2 Sc 0.3763 0.3763 0.8710
Sc3 Sc 0.3763 0.8710 0.3763
Sc4 Sc 0.8710 0.3763 0.3763
Au1 Au 0.7500 0.7500 0.7500
```

Calculated values
Fermi-level density of states	10.888	states/eV/f.u.
formation enthalpy at 0 K	0.27	eV/atom
size of the total moment	0.0611	μB/atom
E	-0.1755	Ha/atom


No. 14
Entry from the Alexandria database: a geometry-optimized SrSc2Au structure (GGA-PBE).

```
data_SrSc2Au
_chemical_formula_sum 'Sr1 Sc2 Au1'
_space_group_name_H-M_alt 'P 1'
_space_group_IT_number 1
_space_group_name_Hall 'P 1'
_cell_length_a 6.1041
_cell_length_b 6.1041
_cell_length_c 6.3334
_cell_angle_alpha 118.13
_cell_angle_beta 118.13
_cell_angle_gamma 33.57
loop_
_atom_site_label
_atom_site_type_symbol
_atom_site_fract_x
_atom_site_fract_y
_atom_site_fract_z
Sr1 Sr 0.0000 0.0000 0.0000
Sc1 Sc 0.6102 0.6102 0.5913
Sc2 Sc 0.8267 0.8267 0.3616
Au1 Au 0.2691 0.2691 0.9790
```

Calculated values
Fermi-level density of states	4.997	states/eV/f.u.
formation enthalpy at 0 K	-0.16	eV/atom
size of the total moment	0.2257	μB/atom
E	-0.1680	Ha/atom